No. 1
DFT (GGA-PBEsol) results for crystalline NdMn2Fe10 at its relaxed geometry.

extended XYZ file:
```
13
Lattice="-2.677 -3.669 0.608 3.015 -4.558 3.037 -3.123 0.313 5.408" Properties=species:S:1:pos:R:3 pbc="T T T"
Fe -1.561 0.157 2.704
Fe -2.052 -5.943 6.901
Fe -2.900 -1.678 3.008
Fe 0.290 -5.292 3.877
Fe -0.929 -1.427 4.561
Fe -0.732 -1.970 2.152
Fe 0.169 -4.113 1.823
Fe 0.822 -2.817 3.885
Fe -3.074 -2.622 5.176
Fe 1.508 -2.279 1.519
Mn -1.728 -3.881 3.501
Mn -1.056 -4.032 5.552
Nd 0.000 0.000 0.000
```

Calculated values
Energy of formation: 0.079 eV/atom
DFT total energy: -8.715 eV per atom

=====

No. 2
DFT (GGA-PBEsol) results for crystalline MnFeNi at its relaxed geometry.

extended XYZ file:
```
3
Lattice="3.726 0.000 0.000 1.863 3.226 0.000 1.863 1.075 3.042" Properties=species:S:1:pos:R:3 pbc="T T T"
Mn 1.863 1.075 0.760
Ni 0.000 0.000 0.000
Fe 3.726 2.151 1.521
```

Calculated values
Energy of formation: 0.616 eV/atom
DFT total energy: -7.678 eV per atom

=====

No. 3
DFT (GGA-PBEsol) results for crystalline Mn2FeNi at its relaxed geometry.

extended XYZ file:
```
4
Lattice="3.987 0.000 0.000 1.993 3.453 0.000 1.993 1.151 3.255" Properties=species:S:1:pos:R:3 pbc="T T T"
Mn 1.993 1.151 0.814
Mn 5.980 3.453 2.441
Ni 3.987 2.302 1.628
Fe 0.000 0.000 0.000
```

Calculated values
Energy of formation: 0.164 eV/atom
DFT total energy: -8.497 eV per atom

=====

No. 4
DFT (GGA-PBEsol) results for crystalline Mn2FeNi at its relaxed geometry.

extended XYZ file:
```
4
Lattice="-0.878 -2.084 -0.873 1.735 -0.022 -1.693 4.190 -3.581 4.338" Properties=species:S:1:pos:R:3 pbc="T T T"
Mn 1.075 -0.919 1.113
Mn 3.115 -2.663 3.225
Ni 0.428 -1.053 -1.283
Fe 2.523 -2.844 0.886
```

Calculated values
Energy of formation: 0.046 eV/atom
DFT total energy: -8.615 eV per atom

=====

No. 5
DFT (GGA-PBEsol) results for crystalline MnFeNi6 at its relaxed geometry.

extended XYZ file:
```
32
Lattice="6.057 -0.003 0.000 -2.025 5.708 0.000 0.000 0.000 9.893" Properties=species:S:1:pos:R:3 pbc="T T T"
Ni 2.015 0.699 3.721
Ni -0.011 4.285 2.494
Ni -0.006 2.127 1.248
Ni 2.015 0.699 6.171
Ni 2.026 5.001 8.644
Ni -0.013 2.133 3.721
Ni 4.043 1.420 7.398
Ni 4.038 3.579 1.248
Ni 0.000 0.000 4.946
Ni -0.011 4.285 7.398
Ni 4.046 3.572 3.721
Ni -0.006 2.127 8.644
Ni 2.006 0.705 1.248
Ni 4.046 3.572 6.171
Ni 2.017 5.006 3.721
Ni 2.016 2.853 4.946
Ni 2.016 2.853 0.000
Ni 2.017 5.006 6.171
Ni -0.013 2.133 6.171
Ni 4.043 1.420 2.494
Ni 4.038 3.579 8.644
Ni 2.026 5.001 1.248
Ni 0.000 0.000 0.000
Ni 2.006 0.705 8.644
Fe 0.004 4.274 4.946
Fe 0.000 0.000 2.466
Fe 4.028 1.431 4.946
Fe 0.000 0.000 7.426
Mn 0.003 4.276 0.000
Mn 2.016 2.853 7.423
Mn 4.030 1.430 0.000
Mn 2.016 2.853 2.470
```

Calculated values
Energy of formation: -0.078 eV/atom
DFT total energy: -7.037 eV per atom

=====

No. 6
DFT (GGA-PBEsol) results for crystalline Mn4FeO8 at its relaxed geometry.

extended XYZ file:
```
13
Lattice="5.661 0.000 0.000 -2.830 4.867 0.001 0.000 -3.115 4.798" Properties=species:S:1:pos:R:3 pbc="T T T"
Mn 2.830 -1.557 2.399
Mn 0.000 0.000 0.000
Mn -1.415 2.433 0.001
Mn 1.415 2.433 0.001
O -1.364 4.029 1.059
O 1.364 4.029 1.059
O 2.830 0.068 3.746
O 0.000 0.125 3.841
O 0.000 1.684 1.054
O 1.467 -2.277 3.741
O 4.194 -2.277 3.741
O 2.830 1.627 0.958
Fe 2.830 0.000 0.000
```

Calculated values
Formation energy without anion corrections: -1.49 eV/atom
DFT total energy: -8.410 eV per atom

=====

No. 7
DFT (GGA-PBEsol) results for crystalline MnFeO2 at its relaxed geometry.

extended XYZ file:
```
4
Lattice="3.677 0.000 0.000 1.839 3.184 0.000 1.839 1.061 3.002" Properties=species:S:1:pos:R:3 pbc="T T T"
Mn 0.000 0.000 0.000
O 1.839 1.061 0.751
O 5.516 3.184 2.252
Fe 3.677 2.123 1.501
```

Calculated values
Formation energy without anion corrections: -0.60 eV/atom
DFT total energy: -7.902 eV per atom

=====

No. 8
DFT (GGA-PBEsol) results for crystalline Mn13Fe3O32 at its relaxed geometry.

extended XYZ file:
```
48
Lattice="-2.868 -0.180 -7.448 -7.247 -1.640 2.919 -6.761 6.878 -1.888" Properties=species:S:1:pos:R:3 pbc="T T T"
Mn -8.728 0.541 -5.162
Mn -9.822 0.176 -2.572
Mn -3.381 3.439 -0.944
Mn -3.686 1.430 -2.907
Mn -13.189 3.627 -3.509
Mn -1.434 -0.090 -3.724
Mn -12.095 3.992 -6.099
Mn -7.053 4.882 -3.844
Mn -8.147 4.517 -1.254
Mn -3.623 -0.820 1.460
Mn -10.957 2.092 -4.333
Mn -5.919 2.966 -2.083
Mn -4.780 1.066 -0.317
O -8.168 0.678 -3.355
O -4.141 3.257 -2.672
O -5.115 2.933 -0.367
O -3.126 1.565 -1.100
O -7.647 4.971 -5.644
O -10.146 2.046 -2.617
O -9.228 0.087 -0.772
O -12.642 3.756 -1.696
O -14.634 5.113 -0.971
O -6.729 3.012 -3.799
O -5.389 1.143 -2.115
O -3.219 -0.391 -3.154
O -6.430 0.569 0.480
O -9.843 4.239 -0.447
O -4.234 1.301 -4.721
O -2.241 -0.055 -5.445
O -13.657 5.448 -3.262
O -7.702 2.687 -1.495
O -12.734 1.800 -3.744
O -11.468 6.168 -8.467
O -9.173 2.370 -4.921
O -13.750 3.493 -5.316
O -8.708 4.380 -3.062
O -11.761 2.125 -6.049
O -12.430 5.857 -6.166
O -10.445 4.488 -6.896
O -10.430 0.267 -4.368
O -4.445 -0.799 -0.251
O -6.446 4.790 -2.048
O -5.408 -1.110 2.051
O -11.487 3.915 -4.301
O -7.033 0.819 -5.970
Fe -6.160 -1.278 0.346
Fe -3.954 -0.543 -4.875
Fe -8.438 2.529 -3.208
```

Calculated values
Formation energy without anion corrections: -1.49 eV/atom
DFT total energy: -8.193 eV per atom

=====

No. 9
DFT (GGA-PBEsol) results for crystalline Mn5FeO12 at its relaxed geometry.

extended XYZ file:
```
18
Lattice="-3.438 0.476 3.474 0.737 -1.920 4.463 4.127 8.371 2.910" Properties=species:S:1:pos:R:3 pbc="T T T"
O 2.138 4.443 3.808
O 0.337 3.480 9.099
O 1.672 7.251 6.430
O 0.639 0.172 1.754
O -1.170 -0.795 7.071
O 2.596 7.723 3.776
O 1.238 3.962 6.453
O 0.787 6.756 9.093
O 0.189 2.965 4.394
O -0.712 2.484 7.039
O -0.245 -0.323 4.417
O 1.089 3.447 1.748
Mn 1.982 2.985 5.009
Mn -1.801 -0.963 5.291
Mn -0.556 3.942 5.838
Mn 0.345 4.424 3.192
Mn -0.900 -0.481 2.646
Fe 0.000 0.000 0.000
```

Calculated values
Formation energy without anion corrections: -1.51 eV/atom
DFT total energy: -8.215 eV per atom

=====

No. 10
DFT (GGA-PBEsol) results for crystalline Mn3FeO8 at its relaxed geometry.

extended XYZ file:
```
24
Lattice="-2.526 -4.118 -2.857 0.715 -0.463 5.548 -7.571 3.750 1.289" Properties=species:S:1:pos:R:3 pbc="T T T"
Mn -7.596 -0.778 2.324
Mn -6.697 1.496 0.988
Mn -7.951 -0.549 -0.430
Mn -2.367 0.235 1.754
Mn -3.266 -2.039 3.090
Mn -2.012 0.005 4.509
O -3.777 0.044 0.491
O -5.951 0.106 2.030
O -5.147 2.549 0.876
O -7.913 0.268 3.882
O -3.403 -0.177 3.263
O -4.673 -2.222 1.822
O -1.724 -1.831 4.163
O -7.017 2.534 2.551
O -1.362 0.674 0.232
O -2.040 -1.626 1.713
O -6.267 0.311 -0.420
O -5.027 -1.994 -0.923
O -8.269 0.480 1.106
O -0.924 0.192 2.974
O -7.067 -1.713 0.768
O -6.663 2.306 5.295
Fe -5.338 -0.972 0.607
Fe -0.472 -1.628 2.764
```

Calculated values
Formation energy without anion corrections: -1.47 eV/atom
DFT total energy: -8.161 eV per atom

=====

No. 11
DFT (GGA-PBEsol) results for crystalline Mn3FeO8 at its relaxed geometry.

extended XYZ file:
```
12
Lattice="-1.938 5.207 -1.573 -5.544 0.849 -1.375 -3.506 3.056 3.422" Properties=species:S:1:pos:R:3 pbc="T T T"
O -5.344 2.542 -0.583
O -4.317 3.655 1.836
O -2.929 2.429 0.127
O -6.670 5.457 -1.361
O -5.642 6.569 1.058
O -3.526 4.740 -0.683
O -7.460 4.372 1.157
O -8.058 6.683 0.348
Mn -3.741 3.028 -1.474
Mn -4.525 1.952 1.024
Mn -2.722 4.132 0.925
Fe 0.000 0.000 0.000
```

Calculated values
Formation energy without anion corrections: -1.46 eV/atom
DFT total energy: -8.147 eV per atom

=====

No. 12
DFT (GGA-PBEsol) results for crystalline MnFe2O3 at its relaxed geometry.

extended XYZ file:
```
12
Lattice="-0.294 2.335 -3.516 3.418 -2.019 -1.627 -2.118 -5.398 -3.407" Properties=species:S:1:pos:R:3 pbc="T T T"
O 0.725 -3.772 -5.111
O -0.819 -3.909 -2.527
O 0.282 -1.311 -3.439
O 1.709 -1.010 -0.813
O 2.119 -3.509 -2.507
O -0.147 1.167 -1.758
Fe -1.009 -2.790 -4.314
Fe 0.000 0.000 0.000
Fe 2.015 -2.292 -4.236
Fe 1.562 0.158 -2.571
Mn 0.457 -2.445 -1.662
Mn 0.844 -4.972 -3.372
```

Calculated values
Formation energy without anion corrections: -0.93 eV/atom
DFT total energy: -8.173 eV per atom